# Ho6Tl3Pt

An optimized crystal structure of Ho6Tl3Pt (PBE, Alexandria via LeMat-Bulk).

Fermi-level density of states ... 0.805 states/eV/atom
Energy relative to the elements ... -0.448 eV/atom
V ... 27.45 Å³ per atom
Energy ... -90.2 eV per cell

Cell lengths 8.990, 11.787, 5.181 Å; angles 90.00, 90.00, 90.00 degrees
Fractional coordinates of all 20 atoms:
Ho: 0.012 0.238 0.000
Ho: 0.157 0.083 0.500
Ho: 0.187 0.412 0.500
Ho: 0.313 0.912 0.000
Ho: 0.343 0.583 0.000
Ho: 0.488 0.738 0.500
Ho: 0.512 0.262 0.500
Ho: 0.657 0.417 0.000
Ho: 0.687 0.088 0.000
Ho: 0.813 0.588 0.500
Ho: 0.843 0.917 0.500
Ho: 0.988 0.762 0.000
Tl: 0.000 0.500 0.000
Tl: 0.154 0.734 0.500
Tl: 0.346 0.234 0.000
Tl: 0.500 0.000 0.500
Tl: 0.654 0.766 0.000
Tl: 0.846 0.266 0.500
Pt: 0.000 0.000 0.000
Pt: 0.500 0.500 0.500